# GGA-PBE LaHgSbPd, relaxed
# Calculated volume in Å³/cell: 389
# Energy in eV for the cell shown: -68.2
data_LaHgSbPd
_space_group_name_H-M_alt 'F -4 3 m'
_space_group_IT_number 216
_space_group_name_Hall 'F -4 2 3'
_cell_length_a 7.2986
_cell_length_b 7.2986
_cell_length_c 7.2986
_cell_angle_alpha 90.00
_cell_angle_beta 90.00
_cell_angle_gamma 90.00
loop_
_atom_site_label
_atom_site_type_symbol
_atom_site_fract_x
_atom_site_fract_y
_atom_site_fract_z
La1 La 0.0000 0.0000 0.0000
Hg1 Hg 0.2500 0.2500 0.2500
Sb1 Sb 0.0000 0.0000 0.5000
Pd1 Pd 0.2500 0.2500 0.7500